Compound: BaLiMg2Ga
Source: Alexandria
Functional: SCAN
Structure: single point on PBEsol structure

Summary:
- Formation enthalpy at 0 K: -0.07 eV per atom
- V: 28.0 Å³/atom
- Spin magnetization: 1.12 μB per cell
- Crystal system: tetragonal

Structure (CIF):
```
data_BaLiMg2Ga
_chemical_formula_sum 'Ba1 Li1 Mg2 Ga1'
_space_group_name_H-M_alt 'P 4/m m m'
_space_group_IT_number 123
_space_group_name_Hall '-P 4 2'
_cell_length_a 5.196
_cell_length_b 5.196
_cell_length_c 5.191
_cell_angle_alpha 90.00
_cell_angle_beta 90.00
_cell_angle_gamma 90.00
loop_
_atom_site_label
_atom_site_fract_x
_atom_site_fract_y
_atom_site_fract_z
Ba1 0.000 0.000 0.000
Li1 0.500 0.500 0.000
Mg1 0.000 0.500 0.500
Ga1 0.500 0.500 0.500
```



Compound: Sc2HgSb2
Source: Alexandria
Functional: SCAN
Structure: single point on PBEsol structure

Summary:
- V: 24.8 Å³/atom
- Formation energy (no corrections): -34.93 kJ/mol of atoms
- Spin magnetization: 1.53 μB per cell
- Crystal system: tetragonal

Structure (CIF):
```
data_Sc2HgSb2
_chemical_formula_sum 'Sc4 Hg2 Sb4'
_space_group_name_H-M_alt 'I 4/m m m'
_space_group_IT_number 139
_space_group_name_Hall '-I 4 2'
_cell_length_a 4.133
_cell_length_b 4.133
_cell_length_c 14.546
_cell_angle_alpha 90.00
_cell_angle_beta 90.00
_cell_angle_gamma 90.00
loop_
_atom_site_label
_atom_site_fract_x
_atom_site_fract_y
_atom_site_fract_z
Sc1 0.000 0.000 0.102
Hg1 0.000 0.000 0.500
Sb1 0.000 0.500 0.250
```



Compound: ZnReBr2
Source: Alexandria
Functional: SCAN
Structure: single point on PBEsol structure

Summary:
- V: 20.1 Å³/atom
- Energy above the most stable polymorph in this dataset: 756 meV per atom
- Formation energy (no corrections): 105.73 kJ/mol of atoms
- Spin magnetization: 0.92 μB per cell
- Crystal system: tetragonal

Structure (CIF):
```
data_ZnReBr2
_chemical_formula_sum 'Zn1 Re1 Br2'
_space_group_name_H-M_alt 'P 4/m m m'
_space_group_IT_number 123
_space_group_name_Hall '-P 4 2'
_cell_length_a 3.106
_cell_length_b 3.106
_cell_length_c 8.354
_cell_angle_alpha 90.00
_cell_angle_beta 90.00
_cell_angle_gamma 90.00
loop_
_atom_site_label
_atom_site_fract_x
_atom_site_fract_y
_atom_site_fract_z
Zn1 0.000 0.000 0.000
Re1 0.000 0.000 0.500
Br1 0.500 0.500 0.312
```



Compound: PmMgRh2
Source: Alexandria
Functional: SCAN
Structure: single point on PBEsol structure

Summary:
- Formation enthalpy at 0 K: -0.66 eV per atom
- V: 17.7 Å³/atom
- Spin magnetization: 0.00 μB per cell
- Crystal system: cubic

Structure (CIF):
```
data_PmMgRh2
_chemical_formula_sum 'Pm4 Mg4 Rh8'
_space_group_name_H-M_alt 'F m -3 m'
_space_group_IT_number 225
_space_group_name_Hall '-F 4 2 3'
_cell_length_a 6.571
_cell_length_b 6.571
_cell_length_c 6.571
_cell_angle_alpha 90.00
_cell_angle_beta 90.00
_cell_angle_gamma 90.00
loop_
_atom_site_label
_atom_site_fract_x
_atom_site_fract_y
_atom_site_fract_z
Pm1 0.000 0.000 0.000
Mg1 0.000 0.000 0.500
Rh1 0.250 0.250 0.250
```



Compound: Ta2NbAl2
Source: Alexandria
Functional: SCAN
Structure: single point on PBEsol structure

Summary:
- Formation enthalpy at 0 K: -0.23 eV per atom
- V: 16.7 Å³/atom
- Spin magnetization: 0.00 μB per cell
- Crystal system: tetragonal

Structure (CIF):
```
data_Ta2NbAl2
_chemical_formula_sum 'Ta4 Nb2 Al4'
_space_group_name_H-M_alt 'P 4/m b m'
_space_group_IT_number 127
_space_group_name_Hall '-P 4 2ab'
_cell_length_a 6.928
_cell_length_b 6.928
_cell_length_c 3.470
_cell_angle_alpha 90.00
_cell_angle_beta 90.00
_cell_angle_gamma 90.00
loop_
_atom_site_label
_atom_site_fract_x
_atom_site_fract_y
_atom_site_fract_z
Ta1 0.174 0.326 0.000
Nb1 0.000 0.000 0.500
Al1 0.126 0.626 0.500
```



Compound: SrLa3Fe
Source: Alexandria
Functional: SCAN
Structure: single point on PBEsol structure

Summary:
- Formation enthalpy at 0 K: 0.17 eV per atom
- V: 32.7 Å³/atom
- Energy above the most stable polymorph in this dataset: 0 meV per atom
- Spin magnetization: 0.00 μB per cell
- Crystal system: cubic

Structure (CIF):
```
data_SrLa3Fe
_chemical_formula_sum 'Sr1 La3 Fe1'
_space_group_name_H-M_alt 'P m -3 m'
_space_group_IT_number 221
_space_group_name_Hall '-P 4 2 3'
_cell_length_a 5.466
_cell_length_b 5.466
_cell_length_c 5.466
_cell_angle_alpha 90.00
_cell_angle_beta 90.00
_cell_angle_gamma 90.00
loop_
_atom_site_label
_atom_site_fract_x
_atom_site_fract_y
_atom_site_fract_z
Sr1 0.000 0.000 0.000
La1 0.000 0.500 0.500
Fe1 0.500 0.500 0.500
```



Compound: CdReSeN2
Source: Alexandria
Functional: SCAN
Structure: single point on PBEsol structure

Summary:
- V: 15.9 Å³/atom
- Formation energy (no corrections): 30.12 kJ/mol of atoms
- Spin magnetization: 0.00 μB per cell
- Crystal system: tetragonal

Structure (CIF):
```
data_CdReSeN2
_chemical_formula_sum 'Cd1 Re1 Se1 N2'
_space_group_name_H-M_alt 'P 4/m m m'
_space_group_IT_number 123
_space_group_name_Hall '-P 4 2'
_cell_length_a 3.843
_cell_length_b 3.843
_cell_length_c 5.399
_cell_angle_alpha 90.00
_cell_angle_beta 90.00
_cell_angle_gamma 90.00
loop_
_atom_site_label
_atom_site_fract_x
_atom_site_fract_y
_atom_site_fract_z
Cd1 0.000 0.000 0.000
Re1 0.500 0.500 0.500
Se1 0.500 0.500 0.000
N1 0.000 0.500 0.500
```



Compound: CaMo2Cl
Source: Alexandria
Functional: SCAN
Structure: single point on PBEsol structure

Summary:
- V: 17.5 Å³/atom
- Energy above the most stable polymorph in this dataset: 0 meV per atom
- Formation energy (no corrections): 88.40 kJ/mol of atoms
- Spin magnetization: 0.00 μB per cell
- Crystal system: tetragonal

Structure (CIF):
```
data_CaMo2Cl
_chemical_formula_sum 'Ca1 Mo2 Cl1'
_space_group_name_H-M_alt 'P 4/m m m'
_space_group_IT_number 123
_space_group_name_Hall '-P 4 2'
_cell_length_a 2.807
_cell_length_b 2.807
_cell_length_c 8.885
_cell_angle_alpha 90.00
_cell_angle_beta 90.00
_cell_angle_gamma 90.00
loop_
_atom_site_label
_atom_site_fract_x
_atom_site_fract_y
_atom_site_fract_z
Ca1 0.000 0.000 0.000
Mo1 0.500 0.500 0.289
Cl1 0.000 0.000 0.500
```



Compound: WBrF3
Source: Alexandria
Functional: SCAN
Structure: single point on PBEsol structure

Summary:
- V: 13.5 Å³/atom
- Formation energy (no corrections): -126.12 kJ/mol of atoms
- Spin magnetization: 1.98 μB per cell
- Crystal system: cubic

Structure (CIF):
```
data_WBrF3
_chemical_formula_sum 'W1 Br1 F3'
_space_group_name_H-M_alt 'P m -3 m'
_space_group_IT_number 221
_space_group_name_Hall '-P 4 2 3'
_cell_length_a 4.067
_cell_length_b 4.067
_cell_length_c 4.067
_cell_angle_alpha 90.00
_cell_angle_beta 90.00
_cell_angle_gamma 90.00
loop_
_atom_site_label
_atom_site_fract_x
_atom_site_fract_y
_atom_site_fract_z
W1 0.000 0.000 0.000
Br1 0.500 0.500 0.500
F1 0.000 0.000 0.500
```



Compound: Mg2Ag
Source: Alexandria
Functional: SCAN
Structure: single point on PBEsol structure

Summary:
- Formation enthalpy at 0 K: -0.16 eV per atom
- V: 18.9 Å³/atom
- Spin magnetization: 0.00 μB per cell
- Crystal system: trigonal

Structure (CIF):
```
data_Mg2Ag
_chemical_formula_sum 'Mg2 Ag1'
_space_group_name_H-M_alt 'P -3 m 1'
_space_group_IT_number 164
_space_group_name_Hall '-P 3 2"'
_cell_length_a 4.6866
_cell_length_b 4.6866
_cell_length_c 2.9863
_cell_angle_alpha 90.00
_cell_angle_beta 90.00
_cell_angle_gamma 120.00
loop_
_atom_site_label
_atom_site_fract_x
_atom_site_fract_y
_atom_site_fract_z
Mg1 0.3333 0.6667 0.2061
Ag1 0.0000 0.0000 0.5000
```



Compound: NiIr8
Source: Alexandria
Functional: SCAN
Structure: single point on PBEsol structure

Summary:
- Formation enthalpy at 0 K: 0.03 eV per atom
- V: 13.7 Å³/atom
- Spin magnetization: 0.00 μB per cell
- Crystal system: tetragonal

Structure (CIF):
```
data_NiIr8
_chemical_formula_sum 'Ni2 Ir16'
_space_group_name_H-M_alt 'I 4/m m m'
_space_group_IT_number 139
_space_group_name_Hall '-I 4 2'
_cell_length_a 8.066
_cell_length_b 8.066
_cell_length_c 3.803
_cell_angle_alpha 90.00
_cell_angle_beta 90.00
_cell_angle_gamma 90.00
loop_
_atom_site_label
_atom_site_fract_x
_atom_site_fract_y
_atom_site_fract_z
Ni1 0.000 0.000 0.000
Ir1 0.000 0.333 0.000
Ir2 0.167 0.167 0.500
```



Compound: SiSbBr
Source: Alexandria
Functional: SCAN
Structure: single point on PBEsol structure

Summary:
- V: 26.3 Å³/atom
- Formation energy (no corrections): 117.50 kJ/mol of atoms
- Spin magnetization: 0.00 μB per cell
- Crystal system: cubic

Structure (CIF):
```
data_SiSbBr
_chemical_formula_sum 'Si4 Sb4 Br4'
_space_group_name_H-M_alt 'F -4 3 m'
_space_group_IT_number 216
_space_group_name_Hall 'F -4 2 3'
_cell_length_a 6.807
_cell_length_b 6.807
_cell_length_c 6.807
_cell_angle_alpha 90.00
_cell_angle_beta 90.00
_cell_angle_gamma 90.00
loop_
_atom_site_label
_atom_site_fract_x
_atom_site_fract_y
_atom_site_fract_z
Si1 0.000 0.000 0.000
Sb1 0.000 0.000 0.500
Br1 0.250 0.250 0.750
```



Compound: SnGe2Rh2
Source: Alexandria
Functional: SCAN
Structure: single point on PBEsol structure

Summary:
- Formation enthalpy at 0 K: -0.30 eV per atom
- V: 16.9 Å³/atom
- Spin magnetization: 0.00 μB per cell
- Crystal system: tetragonal

Structure (CIF):
```
data_SnGe2Rh2
_chemical_formula_sum 'Sn2 Ge4 Rh4'
_space_group_name_H-M_alt 'I 4/m m m'
_space_group_IT_number 139
_space_group_name_Hall '-I 4 2'
_cell_length_a 3.743
_cell_length_b 3.743
_cell_length_c 12.091
_cell_angle_alpha 90.00
_cell_angle_beta 90.00
_cell_angle_gamma 90.00
loop_
_atom_site_label
_atom_site_fract_x
_atom_site_fract_y
_atom_site_fract_z
Sn1 0.000 0.000 0.000
Ge1 0.000 0.500 0.250
Rh1 0.000 0.000 0.382
```



Compound: AlHgBr
Source: Alexandria
Functional: SCAN
Structure: single point on PBEsol structure

Summary:
- V: 29.4 Å³/atom
- Energy above the most stable polymorph in this dataset: 238 meV per atom
- Formation energy (no corrections): 13.87 kJ/mol of atoms
- Spin magnetization: 0.00 μB per cell
- Crystal system: cubic

Structure (CIF):
```
data_AlHgBr
_chemical_formula_sum 'Al4 Hg4 Br4'
_space_group_name_H-M_alt 'F -4 3 m'
_space_group_IT_number 216
_space_group_name_Hall 'F -4 2 3'
_cell_length_a 7.064
_cell_length_b 7.064
_cell_length_c 7.064
_cell_angle_alpha 90.00
_cell_angle_beta 90.00
_cell_angle_gamma 90.00
loop_
_atom_site_label
_atom_site_fract_x
_atom_site_fract_y
_atom_site_fract_z
Al1 0.000 0.000 0.000
Hg1 0.250 0.250 0.750
Br1 0.000 0.000 0.500
```



Compound: Mg3AgF
Source: Alexandria
Functional: SCAN
Structure: single point on PBEsol structure

Summary:
- V: 25.8 Å³/atom
- Formation energy (no corrections): -29.42 kJ/mol of atoms
- Spin magnetization: 0.00 μB per cell
- Crystal system: cubic

Structure (CIF):
```
data_Mg3AgF
_chemical_formula_sum 'Mg3 Ag1 F1'
_space_group_name_H-M_alt 'P m -3 m'
_space_group_IT_number 221
_space_group_name_Hall '-P 4 2 3'
_cell_length_a 5.051
_cell_length_b 5.051
_cell_length_c 5.051
_cell_angle_alpha 90.00
_cell_angle_beta 90.00
_cell_angle_gamma 90.00
loop_
_atom_site_label
_atom_site_fract_x
_atom_site_fract_y
_atom_site_fract_z
Mg1 0.000 0.000 0.500
Ag1 0.000 0.000 0.000
F1 0.500 0.500 0.500
```



Compound: SiW2
Source: Alexandria
Functional: SCAN
Structure: single point on PBEsol structure

Summary:
- V: 14.3 Å³/atom
- Energy above the most stable polymorph in this dataset: 0 meV per atom
- Formation energy (no corrections): -5.53 kJ/mol of atoms
- Spin magnetization: 0.00 μB per cell
- Crystal system: tetragonal

Structure (CIF):
```
data_SiW2
_chemical_formula_sum 'Si4 W8'
_space_group_name_H-M_alt 'I 4/m c m'
_space_group_IT_number 140
_space_group_name_Hall '-I 4 2c'
_cell_length_a 5.930
_cell_length_b 5.930
_cell_length_c 4.878
_cell_angle_alpha 90.00
_cell_angle_beta 90.00
_cell_angle_gamma 90.00
loop_
_atom_site_label
_atom_site_fract_x
_atom_site_fract_y
_atom_site_fract_z
Si1 0.000 0.000 0.250
W1 0.159 0.341 0.000
```



Compound: KSrTl2
Source: Alexandria
Functional: SCAN
Structure: single point on PBEsol structure

Summary:
- Formation enthalpy at 0 K: -0.36 eV per atom
- V: 33.9 Å³/atom
- Energy above the most stable polymorph in this dataset: 4 meV per atom
- Spin magnetization: 0.00 μB per cell
- Crystal system: orthorhombic

Structure (CIF):
```
data_KSrTl2
_chemical_formula_sum 'K1 Sr1 Tl2'
_space_group_name_H-M_alt 'P m m m'
_space_group_IT_number 47
_space_group_name_Hall '-P 2 2'
_cell_length_a 3.985
_cell_length_b 4.001
_cell_length_c 8.494
_cell_angle_alpha 90.00
_cell_angle_beta 90.00
_cell_angle_gamma 90.00
loop_
_atom_site_label
_atom_site_fract_x
_atom_site_fract_y
_atom_site_fract_z
K1 0.000 0.000 0.000
Sr1 0.000 0.000 0.500
Tl1 0.500 0.500 0.275
```



Compound: TlAg
Source: Alexandria
Functional: SCAN
Structure: single point on PBEsol structure

Summary:
- Formation enthalpy at 0 K: 0.11 eV per atom
- V: 22.1 Å³/atom
- Spin magnetization: 0.00 μB per cell
- Crystal system: orthorhombic

Structure (CIF):
```
data_TlAg
_chemical_formula_sum 'Tl2 Ag2'
_space_group_name_H-M_alt 'P m m n'
_space_group_IT_number 59
_cell_length_a 3.145
_cell_length_b 3.705
_cell_length_c 7.593
_cell_angle_alpha 90.00
_cell_angle_beta 90.00
_cell_angle_gamma 90.00
loop_
_space_group_symop_operation_xyz
'x,y,z'
'-x,-y,-z'
'-x+1/2,-y+1/2,z'
'x+1/2,y+1/2,-z'
'x+1/2,-y,-z'
'-x+1/2,y,z'
'-x,y+1/2,-z'
'x,-y+1/2,z'
loop_
_atom_site_label
_atom_site_fract_x
_atom_site_fract_y
_atom_site_fract_z
Tl1 0.250 0.250 0.165
Ag1 0.250 0.250 0.592
```



Compound: BaBe2P2
Source: Alexandria
Functional: SCAN
Structure: single point on PBEsol structure

Summary:
- Formation enthalpy at 0 K: -0.84 eV per atom
- V: 17.6 Å³/atom
- Spin magnetization: 0.00 μB per cell
- Crystal system: tetragonal

Structure (CIF):
```
data_BaBe2P2
_chemical_formula_sum 'Ba2 Be4 P4'
_space_group_name_H-M_alt 'I 4/m m m'
_space_group_IT_number 139
_space_group_name_Hall '-I 4 2'
_cell_length_a 3.727
_cell_length_b 3.727
_cell_length_c 12.706
_cell_angle_alpha 90.00
_cell_angle_beta 90.00
_cell_angle_gamma 90.00
loop_
_atom_site_label
_atom_site_fract_x
_atom_site_fract_y
_atom_site_fract_z
Ba1 0.000 0.000 0.000
Be1 0.000 0.500 0.250
P1 0.000 0.000 0.347
```



Compound: Li2CoNi
Source: Alexandria
Functional: SCAN
Structure: single point on PBEsol structure

Summary:
- Formation enthalpy at 0 K: 0.08 eV per atom
- V: 10.9 Å³/atom
- Energy above the most stable polymorph in this dataset: 10 meV per atom
- Spin magnetization: 3.96 μB per cell
- Crystal system: monoclinic

Structure (CIF):
```
data_Li2CoNi
_chemical_formula_sum 'Li4 Co2 Ni2'
_space_group_name_H-M_alt 'C 1 2/m 1'
_space_group_IT_number 12
_space_group_name_Hall '-C 2y'
_cell_length_a 8.570
_cell_length_b 2.423
_cell_length_c 4.244
_cell_angle_alpha 90.00
_cell_angle_beta 99.25
_cell_angle_gamma 90.00
loop_
_atom_site_label
_atom_site_fract_x
_atom_site_fract_y
_atom_site_fract_z
Li1 0.248 0.000 0.249
Co1 0.000 0.000 0.500
Ni1 0.000 0.500 0.000
```